Density functional theory data (GGA-PBE) for a relaxed structure of HfBeV.

Unit cell a=3.9573 b=3.9573 c=3.4065 alpha=90.00 beta=90.00 gamma=120.00
Space group P-6m2 (No. 187)
Unique sites:
Hf: 0.0000 0.0000 0.0000 (multiplicity 1)
Be: 0.6667 0.3333 0.5000 (multiplicity 1)
V: 0.3333 0.6667 0.5000 (multiplicity 1)

## Properties
Total magnetic moment   0.93 μB per cell
Total energy   -7.364 eV/atom
Energy of formation from the pure elements   0.2359 eV per atom